# 1
CoTe2Mo (PBE, optimized geometry); crystal system = trigonal; mass density = 7.74 Mg/m³; Fermi-level density of states = 0.964 states/eV/atom; formation energy from raw total energies = 0.415 eV/atom; energy above the most stable polymorph in this dataset = 433 meV per atom
1.0
1.716 0.991 8.631
-1.716 0.991 8.631
0.000 -1.981 8.631
Co Te Mo
1 2 1
Direct
0.000 0.000 0.000
0.094 0.094 0.094
0.906 0.906 0.906
0.500 0.500 0.500

***

# 2
Co2TeMo (PBE, optimized geometry); crystal system = tetragonal; mass density = 6.98 Mg/m³; Fermi-level density of states = 0.928 states/eV/atom; formation energy from raw total energies = 0.799 eV/atom
1.0
-2.747 2.747 5.380
2.747 -2.747 5.380
2.747 2.747 -5.380
Co Te Mo
4 2 2
Direct
0.102 0.625 0.977
0.375 0.352 0.477
0.648 0.125 0.023
0.875 0.898 0.523
0.250 0.750 0.500
0.500 0.500 0.000
0.000 0.000 0.000
0.750 0.250 0.500

***

# 3
CoTe2Mo (PBE, optimized geometry); crystal system = tetragonal; mass density = 9.03 Mg/m³; Fermi-level density of states = 0.789 states/eV/atom; formation energy from raw total energies = 0.671 eV/atom; energy above the most stable polymorph in this dataset = 689 meV per atom
1.0
-1.965 1.965 4.886
1.965 -1.965 4.886
1.965 1.965 -4.886
Co Te Mo
1 2 1
Direct
0.000 0.000 0.000
0.500 0.500 0.000
0.750 0.250 0.500
0.250 0.750 0.500

***

# 4
CoTe2Mo (PBE, optimized geometry); crystal system = monoclinic; mass density = 8.87 Mg/m³; Fermi-level density of states = 0.990 states/eV/atom; formation energy from raw total energies = 0.436 eV/atom; energy above the most stable polymorph in this dataset = 454 meV per atom
1.0
4.124 -1.681 0.000
4.124 1.681 0.000
-0.970 0.000 5.537
Co Te Mo
1 2 1
Direct
0.000 0.000 0.000
0.233 0.233 0.747
0.767 0.767 0.253
0.500 0.500 0.500

***

Repeat the third record exactly.
CoTe2Mo (PBE, optimized geometry); crystal system = tetragonal; mass density = 9.03 Mg/m³; Fermi-level density of states = 0.789 states/eV/atom; formation energy from raw total energies = 0.671 eV/atom; energy above the most stable polymorph in this dataset = 689 meV per atom
1.0
-1.965 1.965 4.886
1.965 -1.965 4.886
1.965 1.965 -4.886
Co Te Mo
1 2 1
Direct
0.000 0.000 0.000
0.500 0.500 0.000
0.750 0.250 0.500
0.250 0.750 0.500

***

Look up the formation energy from raw total energies of the second one.
0.799 eV/atom

***

The highest mass density belongs to which entry?
number 3